# GGA-PBE Ho12P3C5, relaxed
# - volume (Å³ per cell) = 3484.7
# - ΔE_f (meV per atom) = -516
data_Ho12P3C5
_space_group_name_H-M_alt 'I a -3 d'
_space_group_IT_number 230
_space_group_name_Hall '-I 4bd 2c 3'
_cell_length_a 15.1608
_cell_length_b 15.1608
_cell_length_c 15.1608
_cell_angle_alpha 90.00
_cell_angle_beta 90.00
_cell_angle_gamma 90.00
loop_
_atom_site_label
_atom_site_fract_x
_atom_site_fract_y
_atom_site_fract_z
_atom_site_occupancy
Ho1 0.0294 0.0571 0.6507 1
P1 0.0000 0.2500 0.1250 1
C1 0.0000 0.0000 0.0000 1
C2 0.0000 0.2500 0.3750 1